The following is a DFT calculation (PBE) of a relaxed Tb2TmIrO8 crystal.

The structure in CIF format:
```
data_Tb2TmIrO8
_cell_length_a 7.082
_cell_length_b 7.184
_cell_length_c 6.758
_cell_angle_alpha 90.00
_cell_angle_beta 90.00
_cell_angle_gamma 90.00
_symmetry_space_group_name_H-M 'C m m m'
_symmetry_Int_Tables_number 65
_symmetry_space_group_name_Hall '-C 2 2'
loop_
_atom_site_label
_atom_site_type_symbol
_atom_site_fract_x
_atom_site_fract_y
_atom_site_fract_z
Tb1 Tb 0.000 0.000 0.248
Tm1 Tm 0.000 0.500 0.000
Ir1 Ir 0.000 0.500 0.500
O1 O 0.000 0.319 0.286
O2 O 0.196 0.000 0.000
O3 O 0.232 0.000 0.500
```

---

The following is a DFT calculation (PBE) of a relaxed TbYIrO6 crystal.

The structure in CIF format:
```
data_TbYIrO6
_cell_length_a 5.5131
_cell_length_b 5.5131
_cell_length_c 9.5234
_cell_angle_alpha 90.00
_cell_angle_beta 90.00
_cell_angle_gamma 120.00
_symmetry_space_group_name_H-M 'P -3 1 c'
_symmetry_Int_Tables_number 163
_symmetry_space_group_name_Hall '-P 3 2c'
loop_
_atom_site_label
_atom_site_type_symbol
_atom_site_fract_x
_atom_site_fract_y
_atom_site_fract_z
Tb1 Tb 0.3333 0.6667 0.2500
Y1 Y 0.0000 0.0000 0.0000
Ir1 Ir 0.3333 0.6667 0.7500
O1 O 0.0435 0.3691 0.6339
```

---

The following is a DFT calculation (PBE) of a relaxed TbZnIrO6 crystal.

The structure in CIF format:
```
data_TbZnIrO6
_cell_length_a 5.4567
_cell_length_b 5.4567
_cell_length_c 8.6070
_cell_angle_alpha 90.00
_cell_angle_beta 90.00
_cell_angle_gamma 120.00
_symmetry_space_group_name_H-M 'P -3 1 c'
_symmetry_Int_Tables_number 163
_symmetry_space_group_name_Hall '-P 3 2c'
loop_
_atom_site_label
_atom_site_type_symbol
_atom_site_fract_x
_atom_site_fract_y
_atom_site_fract_z
Tb1 Tb 0.3333 0.6667 0.2500
Zn1 Zn 0.0000 0.0000 0.0000
Ir1 Ir 0.3333 0.6667 0.7500
O1 O 0.0459 0.3676 0.6237
```

---

Total moment in μB/f.u., matching the order above: 1.4; 2.8; 1.6
Energy relative to the elements, uncorrected in meV/atom, matching the order above: -2363; -2189; -1407
Calculated density in g cm⁻³, matching the order above: 7.79; 7.10; 7.67